Cs2MnF GGA+U optimized geometry; M_tot = 12.00 μB per cell; N(E_F) = 1.18 states/eV/cell; offset from the most stable computed form = 0.000 eV per atom; calculated total energy = -3.5428 eV/atom
1.0
8.8595 0.0000 0.0000
0.0000 8.8595 0.0000
4.4297 4.4297 5.3002
Mn Cs F
2 4 2
Direct
0.7500 0.2500 0.5000
0.0000 0.0000 0.0000
0.3750 0.4957 0.7500
0.8750 0.7543 0.7500
0.5043 0.1250 0.2500
0.2457 0.6250 0.2500
0.2500 0.7500 0.5000
0.5000 0.5000 0.0000